Entry 1:
A plane-wave DFT calculation with PBE was carried out for a geometry-optimized BaCaFe4 structure.

Summary:
- calculated volume (Å³/cell) = 110.0
- magnetization (μB per formula unit) = 9.13
- DFT total energy (hartree per atom) = -0.2135
- DFT formation energy (eV/atom) = 0.487
- space group = F-43m, No. 216

Lattice parameters (Å, degrees): 5.3784 5.3784 5.3784 60.00 60.00 60.00
Closest atoms and distances in Å follow each position.
Atoms (fractional coordinates):
Ca: 0.0000 0.0000 0.0000  12 Fe 3.14, 4 Ba 3.29
Fe: 0.3680 0.3680 0.8961  6 Fe 2.54-2.84
Fe: 0.3680 0.3680 0.3680  6 Fe 2.54-2.84
Fe: 0.3680 0.8961 0.3680  6 Fe 2.54-2.84
Fe: 0.8961 0.3680 0.3680  6 Fe 2.54-2.84
Ba: 0.7500 0.7500 0.7500  12 Fe 3.17, 4 Ca 3.29



Entry 2:
A plane-wave DFT calculation with PBE was carried out for a geometry-optimized LaTb4Nd2Sm2 structure.

Summary:
- calculated volume (Å³/cell) = 303.3
- magnetization (μB per formula unit) = 0.00
- DFT total energy (hartree per atom) = -0.1725
- DFT formation energy (eV/atom) = 0.020
- space group = C2/m, No. 12

Lattice parameters (Å, degrees): 5.1315 8.1214 8.0917 107.57 90.00 108.42
Closest atoms and distances in Å follow each position.
Atoms (fractional coordinates):
Tb: 0.5568 0.1137 0.3364  4 Sm 3.58-3.64, 4 Tb 3.59-3.62, 2 La 3.64, 2 Nd 3.65-3.66
Tb: 0.7776 0.5551 0.6639  3 Sm 3.58-3.63, 5 Tb 3.59-3.62, 3 Nd 3.63-3.64, 1 La 3.64
Tb: 0.2224 0.4449 0.3361  3 Sm 3.58-3.63, 5 Tb 3.59-3.62, 3 Nd 3.63-3.64, 1 La 3.64
Tb: 0.4432 0.8863 0.6636  4 Sm 3.58-3.64, 4 Tb 3.59-3.62, 2 La 3.64, 2 Nd 3.65-3.66
La: 0.0000 0.0000 0.0000  6 Tb 3.64, 4 Nd 3.64, 2 Sm 3.65
Sm: 0.1109 0.2217 0.6627  7 Tb 3.58-3.64, 1 Sm 3.59, 3 Nd 3.63-3.64, 1 La 3.65
Sm: 0.8891 0.7783 0.3373  7 Tb 3.58-3.64, 1 Sm 3.59, 3 Nd 3.63-3.64, 1 La 3.65
Nd: 0.3324 0.6649 0.0002  2 Nd 3.61, 3 Sm 3.63-3.64, 5 Tb 3.63-3.66, 2 La 3.64
Nd: 0.6676 0.3351 0.9998  2 Nd 3.61, 3 Sm 3.63-3.64, 5 Tb 3.63-3.66, 2 La 3.64



Question: Number 2 is which compound?
Answer: LaTb4Nd2Sm2



Question: Which value of calculated volume does entry 2 give?
Answer: 303.3 Å³/cell